The following is a DFT calculation (GGA-PBE) of a relaxed Cs2SmNp2Se6 crystal.

```
11
Lattice="7.345 -0.034 0.077 -3.660 6.368 0.077 -1.295 -2.226 8.514" Properties=species:S:1:pos:R:3 pbc="T T T"
Sm -0.648 -1.113 4.257
Np 3.024 0.989 4.334
Np -0.635 3.118 4.334
Cs 5.532 1.020 0.077
Cs -1.847 5.313 0.077
Se 1.764 3.032 5.918
Se 4.307 3.078 2.829
Se 0.626 1.075 2.749
Se -1.918 1.030 5.838
Se 1.843 -1.158 5.838
Se 0.547 5.266 2.829
```

Results
D(E_F)	19.4	states/eV/f.u.
raw total energy	-6.249	eV/atom